(1)
Material: La4SmTe5
Method: DFT, GGA-PBE
State: optimized geometry

The structure in POSCAR format:
```
La4SmTe5
1.0
-5.088 5.088 3.226
5.088 -5.088 3.226
5.088 5.088 -3.226
La Sm Te
4 1 5
Direct
0.098 0.302 0.400
0.302 0.902 0.204
0.698 0.098 0.796
0.902 0.698 0.600
0.500 0.500 0.000
0.000 0.000 0.000
0.206 0.600 0.806
0.400 0.206 0.606
0.600 0.794 0.394
0.794 0.400 0.194
```

Summary:
Crystal system: tetragonal
Energy, eV per formula unit: -55.66
Energy relative to the elements, uncorrected, eV per atom: -1.552



(2)
Material: Ac2SmHg2
Method: DFT, GGA-PBE
State: optimized geometry

The structure in POSCAR format:
```
Ac2SmHg2
1.0
-2.089 3.822 5.439
2.089 -3.822 5.439
2.089 3.822 -5.439
Ac Sm Hg
2 1 2
Direct
0.208 0.208 0.000
0.792 0.792 0.000
0.500 0.000 0.500
0.204 0.500 0.704
0.796 0.500 0.296
```

Summary:
Calculated formation energy, eV per formula unit: -1.61
Crystal system: orthorhombic
Energy, eV per formula unit: -15.15



no.,energy above the lowest structure with this stoichiometry (eV/atom)
1,0.0000
2,0.0000